(i)
The following is a PBE-GGA calculation of an optimized crystal structure of B5C7, from the Alexandria database.

Computed properties:
M_tot: 0.00 Bohr magnetons per cell
ρ: 2.962 g/cm3

a b c (Å): 4.659 4.659 4.281
angles (deg): 97.73 97.73 120.10
Sites, in units of the cell vectors:
1 C 0.876 0.894 0.608
2 B 0.205 0.839 0.510
3 C 0.728 0.062 0.128
4 C 0.650 0.304 0.977
5 B 0.352 0.314 0.091
6 C 0.971 0.983 0.977
7 C 0.560 0.209 0.608
8 B 0.980 0.685 0.091
9 B 0.506 0.538 0.510
10 B 0.364 0.697 0.082
11 C 0.203 0.536 0.667
12 C 0.855 0.188 0.501


(ii)
The following is a PBE-GGA calculation of an optimized crystal structure of B5C7, from the Alexandria database.

Computed properties:
M_tot: 0.00 Bohr magnetons per cell
ρ: 2.943 g/cm3

a b c (Å): 2.488 2.488 12.589
angles (deg): 90.00 90.00 90.00
Sites, in units of the cell vectors:
1 B 0.000 0.500 0.728
2 C 0.000 0.000 0.333
3 C 0.000 0.000 0.024
4 C 0.000 0.000 0.642
5 C 0.000 0.500 0.404
6 B 0.500 0.500 0.487
7 C 0.500 0.000 0.262
8 C 0.500 0.000 0.576
9 C 0.000 0.500 0.090
10 B 0.500 0.500 0.179
11 B 0.500 0.000 0.939
12 B 0.500 0.500 0.833


What should be chosen as the least stable of them? Choose (i).


(i)
The following is a PBE-GGA calculation of an optimized crystal structure of MnCrAg2, from the Alexandria database.

Computed properties:
M_tot: 0.27 Bohr magnetons per cell
ρ: 8.457 g/cm3

a b c (Å): 3.029 3.029 6.903
angles (deg): 90.00 90.00 90.00
Last column: magnetic moment on the atom in μB.
Sites, in units of the cell vectors:
1 Ag 0.000 0.000 0.982  -0.04
2 Cr 0.000 0.000 0.540  2.73
3 Mn 0.500 0.500 0.712  -3.07
4 Ag 0.500 0.500 0.266  0.04


(ii)
The following is a PBE-GGA calculation of an optimized crystal structure of MnCrAg2, from the Alexandria database.

Computed properties:
M_tot: 0.00 Bohr magnetons per cell
ρ: 8.262 g/cm3

a b c (Å): 4.952 4.952 4.952
angles (deg): 132.46 132.46 69.50
Last column: magnetic moment on the atom in μB.
Sites, in units of the cell vectors:
1 Mn 0.750 0.250 0.500  3.70
2 Cr 0.500 0.500 0.000  -3.49
3 Ag 0.250 0.750 0.500  -0.02
4 Ag 0.000 0.000 0.000  -0.01


What should be chosen as the least stable of them? Choose (ii).


(i)
The following is a PBE-GGA calculation of an optimized crystal structure of AlMo2As, from the Alexandria database.

Computed properties:
M_tot: 0.00 Bohr magnetons per cell
ρ: 7.808 g/cm3

a b c (Å): 4.949 4.949 4.949
angles (deg): 133.60 133.60 67.72
Sites, in units of the cell vectors:
1 As 0.750 0.250 0.500
2 Al 0.250 0.750 0.500
3 Mo 0.500 0.500 0.000
4 Mo 0.000 0.000 0.000


(ii)
The following is a PBE-GGA calculation of an optimized crystal structure of AlMo2As, from the Alexandria database.

Computed properties:
M_tot: 0.00 Bohr magnetons per cell
ρ: 7.898 g/cm3

a b c (Å): 5.050 5.050 5.050
angles (deg): 141.14 129.14 65.80
Sites, in units of the cell vectors:
1 Al 0.497 0.497 0.000
2 Mo 0.246 0.746 0.500
3 As 0.759 0.259 0.500
4 Mo 0.999 0.999 0.000


What should be chosen as the least stable of them? Choose (i).


(i)
The following is a PBE-GGA calculation of an optimized crystal structure of Cd2InSi, from the Alexandria database.

Computed properties:
M_tot: 0.00 Bohr magnetons per cell
ρ: 6.558 g/cm3

a b c (Å): 6.738 6.738 6.738
angles (deg): 153.67 136.43 51.62
Sites, in units of the cell vectors:
1 Si 0.248 0.748 0.500
2 Cd 0.751 0.251 0.500
3 Cd 0.045 0.045 0.000
4 In 0.456 0.456 0.000


(ii)
The following is a PBE-GGA calculation of an optimized crystal structure of Cd2InSi, from the Alexandria database.

Computed properties:
M_tot: 0.00 Bohr magnetons per cell
ρ: 6.737 g/cm3

a b c (Å): 5.595 5.595 2.896
angles (deg): 90.00 90.00 90.00
Sites, in units of the cell vectors:
1 Cd 0.000 0.000 0.000
2 Si 0.000 0.500 0.500
3 Cd 0.500 0.500 0.000
4 In 0.500 0.000 0.500


What should be chosen as the least stable of them? Choose (ii).


(i)
The following is a PBE-GGA calculation of an optimized crystal structure of Na5B7C3, from the Alexandria database.

Computed properties:
M_tot: 0.00 Bohr magnetons per cell
ρ: 2.418 g/cm3

a b c (Å): 12.912 12.912 8.556
angles (deg): 90.00 90.00 167.39
Sites, in units of the cell vectors:
1 Na 0.200 0.800 0.002
2 Na 0.601 0.399 0.498
3 B 0.268 0.732 0.750
4 B 0.860 0.140 0.250
5 C 0.537 0.463 0.250
6 B 0.335 0.665 0.750
7 B 0.730 0.270 0.750
8 C 0.134 0.866 0.250
9 B 0.263 0.737 0.250
10 Na 0.200 0.800 0.498
11 Na 0.799 0.201 0.501
12 Na 0.399 0.601 0.493
13 B 0.925 0.075 0.750
14 C 0.329 0.671 0.250
15 B 0.467 0.533 0.750
16 Na 0.001 0.999 0.498
17 C 0.731 0.269 0.250
18 Na 0.799 0.201 0.999
19 C 0.668 0.332 0.750
20 B 0.667 0.333 0.250
21 C 0.865 0.135 0.750
22 B 0.138 0.862 0.750
23 Na 0.601 0.399 0.002
24 B 0.071 0.929 0.750
25 B 0.531 0.469 0.750
26 Na 0.001 0.999 0.002
27 B 0.933 0.067 0.250
28 Na 0.399 0.601 0.007
29 B 0.070 0.930 0.250
30 B 0.474 0.526 0.250


(ii)
The following is a PBE-GGA calculation of an optimized crystal structure of Na5B7C3, from the Alexandria database.

Computed properties:
M_tot: 0.00 Bohr magnetons per cell
ρ: 2.410 g/cm3

a b c (Å): 7.587 7.587 9.034
angles (deg): 107.34 107.34 39.27
Sites, in units of the cell vectors:
1 B 0.520 0.191 0.250
2 C 0.014 0.682 0.751
3 Na 0.600 0.601 0.003
4 B 0.582 0.918 0.250
5 Na 0.699 0.698 0.492
6 B 0.881 0.227 0.750
7 Na 0.198 0.203 0.005
8 Na 0.499 0.500 0.499
9 C 0.982 0.316 0.251
10 Na 0.802 0.801 0.008
11 Na 0.297 0.302 0.495
12 B 0.309 0.980 0.250
13 C 0.375 0.719 0.250
14 Na 0.000 0.001 0.001
15 B 0.604 0.289 0.750
16 B 0.118 0.782 0.250
17 B 0.520 0.789 0.749
18 Na 0.398 0.402 0.002
19 B 0.401 0.099 0.750
20 B 0.072 0.428 0.750
21 C 0.184 0.518 0.249
22 C 0.818 0.486 0.749
23 B 0.935 0.565 0.250
24 C 0.781 0.125 0.250
25 B 0.711 0.980 0.751
26 Na 0.899 0.900 0.497
27 Na 0.098 0.102 0.498
28 B 0.718 0.382 0.250
29 B 0.211 0.896 0.750
30 B 0.273 0.619 0.750


What should be chosen as the least stable of them? Choose (ii).


(i)
The following is a PBE-GGA calculation of an optimized crystal structure of CrBr2Cl, from the Alexandria database.

Computed properties:
M_tot: 2.99 Bohr magnetons per cell
ρ: 4.558 g/cm3

a b c (Å): 5.034 5.034 5.034
angles (deg): 120.08 120.08 89.86
Last column: magnetic moment on the atom in μB.
Sites, in units of the cell vectors:
1 Cr 0.750 0.250 0.500  3.85
2 Br 0.000 0.000 0.000  -0.32
3 Br 0.250 0.750 0.500  -0.50
4 Cl 0.500 0.500 0.000  -0.18


(ii)
The following is a PBE-GGA calculation of an optimized crystal structure of CrBr2Cl, from the Alexandria database.

Computed properties:
M_tot: 4.47 Bohr magnetons per cell
ρ: 3.185 g/cm3

a b c (Å): 4.092 4.092 9.898
angles (deg): 90.00 90.00 128.95
Last column: magnetic moment on the atom in μB.
Sites, in units of the cell vectors:
1 Br 0.000 0.000 0.925  -0.05
2 Br 0.000 0.000 0.575  -0.05
3 Cr 0.500 0.500 0.750  3.47
4 Cl 0.500 0.500 0.250  0.55


What should be chosen as the least stable of them? Choose (i).


(i)
The following is a PBE-GGA calculation of an optimized crystal structure of KMn2Pb, from the Alexandria database.

Computed properties:
M_tot: 7.86 Bohr magnetons per cell
ρ: 5.364 g/cm3

a b c (Å): 4.973 3.159 7.098
angles (deg): 81.43 90.00 90.00
Last column: magnetic moment on the atom in μB.
Sites, in units of the cell vectors:
1 Mn 0.000 0.462 0.407  3.73
2 K 0.500 0.750 0.750  0.00
3 Mn 0.000 0.038 0.093  3.73
4 Pb 0.500 0.250 0.250  -0.11


(ii)
The following is a PBE-GGA calculation of an optimized crystal structure of KMn2Pb, from the Alexandria database.

Computed properties:
M_tot: 7.91 Bohr magnetons per cell
ρ: 5.772 g/cm3

a b c (Å): 10.980 10.980 10.980
angles (deg): 17.33 17.33 17.33
Last column: magnetic moment on the atom in μB.
Sites, in units of the cell vectors:
1 Pb 0.250 0.250 0.250  -0.08
2 K 0.750 0.750 0.750  -0.03
3 Mn 0.511 0.511 0.511  3.91
4 Mn 0.989 0.989 0.989  3.91


What should be chosen as the least stable of them? Choose (ii).


(i)
The following is a PBE-GGA calculation of an optimized crystal structure of LaNiRu2, from the Alexandria database.

Computed properties:
M_tot: 0.00 Bohr magnetons per cell
ρ: 9.821 g/cm3

a b c (Å): 5.697 5.697 5.697
angles (deg): 149.92 132.76 57.03
Sites, in units of the cell vectors:
1 Ni 0.250 0.750 0.500
2 Ru 0.466 0.466 0.000
3 La 0.750 0.250 0.500
4 Ru 0.034 0.034 0.000


(ii)
The following is a PBE-GGA calculation of an optimized crystal structure of LaNiRu2, from the Alexandria database.

Computed properties:
M_tot: 0.00 Bohr magnetons per cell
ρ: 9.022 g/cm3

a b c (Å): 4.431 4.166 4.171
angles (deg): 72.86 90.00 90.00
Sites, in units of the cell vectors:
1 Ru 0.000 0.562 0.557
2 Ru 0.000 0.938 0.943
3 Ni 0.500 0.750 0.750
4 La 0.500 0.250 0.250


What should be chosen as the least stable of them? Choose (i).


(i)
The following is a PBE-GGA calculation of an optimized crystal structure of LiF, from the Alexandria database.

Computed properties:
M_tot: 0.00 Bohr magnetons per cell
ρ: 1.959 g/cm3

a b c (Å): 5.280 5.280 3.154
angles (deg): 90.00 90.00 90.00
Sites, in units of the cell vectors:
1 F 0.187 0.813 0.500
2 F 0.687 0.687 0.000
3 Li 0.823 0.823 0.500
4 Li 0.677 0.323 0.000
5 F 0.813 0.187 0.500
6 Li 0.177 0.177 0.500
7 F 0.313 0.313 0.000
8 Li 0.323 0.677 0.000


(ii)
The following is a PBE-GGA calculation of an optimized crystal structure of LiF, from the Alexandria database.

Computed properties:
M_tot: 0.00 Bohr magnetons per cell
ρ: 2.539 g/cm3

a b c (Å): 2.884 2.884 2.884
angles (deg): 60.00 60.00 60.00
Sites, in units of the cell vectors:
1 Li 0.000 0.000 0.000
2 F 0.500 0.500 0.500


What should be chosen as the least stable of them? Choose (i).